(1)
First-principles (PBE-GGA) data for crystalline Pu2Ga8Pd at its relaxed geometry, as listed in Alexandria via LeMat-Bulk.

Cell lengths 4.3344, 4.3344, 11.2071 Å; angles 90.00, 90.00, 90.00 degrees
Last column: nearest neighbours and their distance in Å.
Positions (direct):
Pd: 0.0000 0.0000 0.0000  8 Ga 2.60
Ga: 0.0000 0.5000 0.5000  4 Pu 3.04, 8 Ga 3.05-3.06
Ga: 0.5000 0.0000 0.5000  4 Pu 3.04, 8 Ga 3.05-3.06
Ga: 0.5000 0.5000 0.3086  8 Ga 2.97-3.05, 4 Pu 3.06
Ga: 0.5000 0.5000 0.6914  8 Ga 2.97-3.05, 4 Pu 3.06
Ga: 0.0000 0.5000 0.1275  2 Pd 2.60, 1 Ga 2.86
Ga: 0.5000 0.0000 0.1275  2 Pd 2.60, 1 Ga 2.86
Ga: 0.0000 0.5000 0.8725  2 Pd 2.60, 1 Ga 2.86
Ga: 0.5000 0.0000 0.8725  2 Pd 2.60, 1 Ga 2.86
Pu: 0.0000 0.0000 0.3101  12 Ga 2.98-3.06
Pu: 0.0000 0.0000 0.6899  12 Ga 2.98-3.06

Results
Space group   P4/mmm (123)
Formation energy   -4.69 eV per formula unit



(2)
First-principles (PBE-GGA) data for crystalline PrNdYTm2 at its relaxed geometry, as listed in Alexandria via LeMat-Bulk.

Cell lengths 6.4234, 6.4431, 8.9540 Å; angles 111.09, 90.00, 90.00 degrees
Last column: nearest neighbours and their distance in Å.
Positions (direct):
Pr: 0.7500 0.7743 0.5485  4 Nd 3.42-3.78, 4 Y 3.44-3.79
Pr: 0.2500 0.2257 0.4515  4 Nd 3.42-3.78, 4 Y 3.44-3.79
Nd: 0.2500 0.8438 0.6876  1 Y 3.17, 2 Pr 3.42, 4 Tm 3.45
Nd: 0.7500 0.1562 0.3124  1 Y 3.17, 2 Pr 3.42, 4 Tm 3.45
Y: 0.2500 0.6541 0.3083  1 Nd 3.17, 2 Pr 3.44, 4 Tm 3.45
Y: 0.7500 0.3459 0.6917  1 Nd 3.17, 2 Pr 3.44, 4 Tm 3.45
Tm: 0.5000 0.2467 0.0000  4 Tm 3.18-3.26, 2 Y 3.45, 2 Nd 3.45
Tm: 0.0000 0.7533 0.0000  4 Tm 3.18-3.26, 2 Y 3.45, 2 Nd 3.45
Tm: 0.5000 0.7533 0.0000  4 Tm 3.18-3.26, 2 Y 3.45, 2 Nd 3.45
Tm: 0.0000 0.2467 0.0000  4 Tm 3.18-3.26, 2 Y 3.45, 2 Nd 3.45

Results
Space group   Cmcm (63)
Formation energy   1.67 eV per formula unit



(3)
First-principles (PBE-GGA) data for crystalline KTiSeO6 at its relaxed geometry, as listed in Alexandria via LeMat-Bulk.

Cell lengths 5.1279, 5.1279, 11.8937 Å; angles 90.00, 90.00, 120.00 degrees
Last column: nearest neighbours and their distance in Å.
Positions (direct):
K: 0.0000 0.0000 0.0000  6 O 2.77
K: 0.0000 0.0000 0.5000  6 O 2.77
Ti: 0.6667 0.3333 0.2500  6 O 1.98
Ti: 0.3333 0.6667 0.7500  6 O 1.98
Se: 0.3333 0.6667 0.2500  6 O 1.82
Se: 0.6667 0.3333 0.7500  6 O 1.82
O: 0.6017 0.6250 0.1629  1 Se 1.82, 1 Ti 1.98
O: 0.0233 0.3983 0.1629  1 Se 1.82, 1 Ti 1.98
O: 0.3983 0.0233 0.6629  1 Se 1.82, 1 Ti 1.98
O: 0.9767 0.6017 0.8371  1 Se 1.82, 1 Ti 1.98
O: 0.3750 0.3983 0.3371  1 Se 1.82, 1 Ti 1.98
O: 0.0233 0.6250 0.3371  1 Se 1.82, 1 Ti 1.98
O: 0.6250 0.0233 0.8371  1 Se 1.82, 1 Ti 1.98
O: 0.6017 0.9767 0.3371  1 Se 1.82, 1 Ti 1.98
O: 0.9767 0.3750 0.6629  1 Se 1.82, 1 Ti 1.98
O: 0.3750 0.9767 0.1629  1 Se 1.82, 1 Ti 1.98
O: 0.6250 0.6017 0.6629  1 Se 1.82, 1 Ti 1.98
O: 0.3983 0.3750 0.8371  1 Se 1.82, 1 Ti 1.98

Results
Space group   P-31c (163)
Uncorrected formation energy   -1473.5 meV per atom



(4)
First-principles (PBE-GGA) data for crystalline EuYInHg at its relaxed geometry, as listed in Alexandria via LeMat-Bulk.

Cell lengths 5.4239, 5.4239, 5.4239 Å; angles 60.00, 60.00, 60.00 degrees
Last column: nearest neighbours and their distance in Å.
Positions (direct):
Eu: 0.2500 0.2500 0.2500  4 Hg 3.32, 4 In 3.32
Y: 0.7500 0.7500 0.7500  4 Hg 3.32, 4 In 3.32
Hg: 0.0000 0.0000 0.0000  4 Eu 3.32, 4 Y 3.32
In: 0.5000 0.5000 0.5000  4 Y 3.32, 4 Eu 3.32

Results
Space group   F-43m (216)
Formation energy   -1.92 eV per formula unit



(5)
First-principles (PBE-GGA) data for crystalline La2Nd2GaGe4 at its relaxed geometry, as listed in Alexandria via LeMat-Bulk.

Cell lengths 6.7882, 6.7882, 6.7882 Å; angles 96.78, 116.17, 116.17 degrees
Last column: nearest neighbours and their distance in Å.
Positions (direct):
La: 0.5000 0.7500 0.2500  8 Ge 3.39, 4 Nd 3.63
La: 0.5000 0.2500 0.7500  8 Ge 3.39, 4 Nd 3.63
Nd: 0.0000 0.6898 0.6898  1 Ga 2.80, 4 Ge 3.07
Nd: 0.0000 0.3102 0.3102  1 Ga 2.80, 4 Ge 3.07
Ga: 0.0000 0.0000 0.0000  4 Ge 2.52, 2 Nd 2.80
Ge: 0.0000 0.7516 0.2484  1 Ga 2.52
Ge: 0.5032 0.7516 0.7516  1 Ga 2.52
Ge: 0.0000 0.2484 0.7516  1 Ga 2.52
Ge: 0.4968 0.2484 0.2484  1 Ga 2.52

Results
Space group   I4/mmm (139)
Formation energy   -3.51 eV per formula unit



(6)
First-principles (PBE-GGA) data for crystalline Ba2InPbSe4 at its relaxed geometry, as listed in Alexandria via LeMat-Bulk.

Cell lengths 9.0633, 9.0633, 8.9900 Å; angles 119.73, 119.73, 90.06 degrees
Last column: nearest neighbours and their distance in Å.
Positions (direct):
Ba: 0.5000 0.0000 0.0000  6 Se 3.27
Ba: 0.5000 0.0000 0.5000  6 Se 3.27
Ba: 0.0000 0.0000 0.5000  6 Se 3.30-3.32
Ba: 0.5000 0.5000 0.0000  6 Se 3.30-3.32
In: 0.5000 0.5000 0.5000  6 Se 3.09-3.12
In: 0.0000 0.0000 0.0000  6 Se 3.09-3.12
Pb: 0.0000 0.5000 0.0000  6 Se 3.14-3.15
Pb: 0.0000 0.5000 0.5000  6 Se 3.14-3.15
Se: 0.2334 0.7478 0.9906  1 In 3.12, 2 Pb 3.14, 3 Ba 3.27-3.30
Se: 0.7522 0.2666 0.5094  1 In 3.12, 2 Pb 3.14, 3 Ba 3.27-3.30
Se: 0.2478 0.7334 0.4906  1 In 3.12, 2 Pb 3.14, 3 Ba 3.27-3.30
Se: 0.7667 0.2522 0.0094  1 In 3.11, 2 Pb 3.14, 3 Ba 3.27-3.30
Se: 0.7547 0.7453 0.9825  2 In 3.09-3.10, 1 Pb 3.15, 3 Ba 3.27-3.32
Se: 0.7547 0.7453 0.5175  2 In 3.09-3.10, 1 Pb 3.15, 3 Ba 3.27-3.32
Se: 0.2453 0.2548 0.4825  2 In 3.09-3.10, 1 Pb 3.15, 3 Ba 3.27-3.32
Se: 0.2452 0.2547 0.0175  2 In 3.09-3.10, 1 Pb 3.15, 3 Ba 3.27-3.32

Results
Space group   Imma (74)
Uncorrected formation energy   -1182.7 meV per atom



(7)
First-principles (PBE-GGA) data for crystalline LuScTl at its relaxed geometry, as listed in Alexandria via LeMat-Bulk.

Cell lengths 3.4102, 3.4102, 7.0232 Å; angles 104.05, 104.05, 90.00 degrees
Last column: nearest neighbours and their distance in Å.
Positions (direct):
Sc: 0.2896 0.2896 0.5792  4 Tl 3.17, 4 Lu 3.33, 4 Sc 3.41
Tl: 0.9451 0.9451 0.8902  4 Sc 3.17, 4 Lu 3.29, 4 Tl 3.41
Lu: 0.6153 0.6153 0.2306  4 Tl 3.29, 4 Sc 3.33, 4 Lu 3.41

Results
Space group   I4mm (107)
Formation energy   -0.60 eV per formula unit
Energy relative to the lowest polymorph listed for this composition   0.0 kJ per mole of atoms



(8)
First-principles (PBE-GGA) data for crystalline Sc2PtBr at its relaxed geometry, as listed in Alexandria via LeMat-Bulk.

Cell lengths 4.8219, 4.8219, 4.8219 Å; angles 60.00, 60.00, 60.00 degrees
Last column: nearest neighbours and their distance in Å.
Positions (direct):
Sc: 0.2500 0.2500 0.2500  4 Br 2.95, 4 Pt 2.95
Sc: 0.7500 0.7500 0.7500  4 Pt 2.95, 4 Br 2.95
Br: 0.0000 0.0000 0.0000  8 Sc 2.95
Pt: 0.5000 0.5000 0.5000  8 Sc 2.95

Results
Space group   Fm-3m (225)
Uncorrected formation energy   -701.4 meV per atom
Energy relative to the lowest polymorph listed for this composition   38.1 kJ per mole of atoms



(9)
First-principles (PBE-GGA) data for crystalline K2Na21Tl6 at its relaxed geometry, as listed in Alexandria via LeMat-Bulk.

Cell lengths 11.5020, 11.5020, 11.5020 Å; angles 60.00, 60.00, 60.00 degrees
Last column: nearest neighbours and their distance in Å.
Positions (direct):
K: 0.7500 0.7500 0.7500  4 Na 3.88
K: 0.2500 0.2500 0.2500  4 Na 3.88
Na: 0.0000 0.0000 0.0000  12 Na 3.96, 6 Tl 4.27
Na: 0.6124 0.6124 0.1628  3 Tl 3.29, 3 Na 3.66
Na: 0.6124 0.6124 0.6124  3 Tl 3.29, 3 Na 3.66
Na: 0.6124 0.1628 0.6124  3 Tl 3.29, 3 Na 3.66
Na: 0.1628 0.6124 0.6124  3 Tl 3.29, 3 Na 3.66
Na: 0.3876 0.3876 0.8372  3 Tl 3.29, 3 Na 3.66
Na: 0.3876 0.3876 0.3876  3 Tl 3.29, 3 Na 3.66
Na: 0.3876 0.8372 0.3876  3 Tl 3.29, 3 Na 3.66
Na: 0.8372 0.3876 0.3876  3 Tl 3.29, 3 Na 3.66
Na: 0.6561 0.0000 0.3439  2 Tl 3.16
Na: 0.0000 0.6561 0.3439  2 Tl 3.16
Na: 0.0000 0.0000 0.3439  2 Tl 3.16
Na: 0.0000 0.6561 0.0000  2 Tl 3.16
Na: 0.6561 0.0000 0.0000  2 Tl 3.16
Na: 0.0000 0.0000 0.6561  2 Tl 3.16
Na: 0.0000 0.3439 0.0000  2 Tl 3.16
Na: 0.0000 0.3439 0.6561  2 Tl 3.16
Na: 0.6561 0.3439 0.0000  2 Tl 3.16
Na: 0.3439 0.0000 0.6561  2 Tl 3.16
Na: 0.3439 0.0000 0.0000  2 Tl 3.16
Na: 0.3439 0.6561 0.0000  2 Tl 3.16
Tl: 0.2625 0.7375 0.2625  8 Na 3.16-3.29
Tl: 0.7375 0.2625 0.2625  8 Na 3.16-3.29
Tl: 0.7375 0.7375 0.2625  8 Na 3.16-3.29
Tl: 0.7375 0.2625 0.7375  8 Na 3.16-3.29
Tl: 0.2625 0.7375 0.7375  8 Na 3.16-3.29
Tl: 0.2625 0.2625 0.7375  8 Na 3.16-3.29

Results
Space group   Fm-3m (225)
Formation energy   -0.84 eV per formula unit



(10)
First-principles (PBE-GGA) data for crystalline CsBi3Se at its relaxed geometry, as listed in Alexandria via LeMat-Bulk.

Cell lengths 6.3624, 6.3624, 6.3624 Å; angles 90.00, 90.00, 90.00 degrees
Last column: nearest neighbours and their distance in Å.
Positions (direct):
Cs: 0.0000 0.0000 0.0000  6 Bi 3.18
Bi: 0.0000 0.5000 0.0000  2 Cs 3.18
Bi: 0.0000 0.0000 0.5000  2 Cs 3.18
Bi: 0.5000 0.0000 0.0000  2 Cs 3.18
Se: 0.5000 0.5000 0.5000  12 Bi 4.50

Results
Space group   Pm-3m (221)
Uncorrected formation energy   1581.9 meV per atom
Energy relative to the lowest polymorph listed for this composition   137.1 kJ per mole of atoms



(11)
First-principles (PBE-GGA) data for crystalline Pu2Al3GaCu4 at its relaxed geometry, as listed in Alexandria via LeMat-Bulk.

Cell lengths 4.1688, 4.1688, 10.1568 Å; angles 90.00, 90.00, 90.00 degrees
Last column: nearest neighbours and their distance in Å.
Positions (direct):
Pu: 0.5000 0.0000 0.2468  6 Al 3.18-3.31, 8 Cu 3.19-3.26, 2 Ga 3.31
Pu: 0.0000 0.5000 0.7532  6 Al 3.18-3.31, 8 Cu 3.19-3.26, 2 Ga 3.31
Al: 0.0000 0.0000 0.5000  4 Cu 2.49
Al: 0.5000 0.0000 0.8711  5 Cu 2.41-2.46
Al: 0.0000 0.5000 0.1289  5 Cu 2.41-2.46
Ga: 0.5000 0.5000 0.5000  4 Cu 2.49
Cu: 0.5000 0.5000 0.0000  4 Al 2.46
Cu: 0.0000 0.0000 0.0000  4 Al 2.46
Cu: 0.5000 0.0000 0.6338  3 Al 2.41-2.49, 2 Ga 2.49
Cu: 0.0000 0.5000 0.3662  3 Al 2.41-2.49, 2 Ga 2.49

Results
Space group   P-4m2 (115)
Formation energy   -2.00 eV per formula unit



(12)
First-principles (PBE-GGA) data for crystalline InAg2I at its relaxed geometry, as listed in Alexandria via LeMat-Bulk.

Cell lengths 5.2565, 5.2565, 5.2565 Å; angles 60.00, 60.00, 60.00 degrees
Last column: nearest neighbours and their distance in Å.
Positions (direct):
I: 0.5000 0.5000 0.5000  8 Ag 3.22
Ag: 0.2500 0.2500 0.2500  4 In 3.22, 4 I 3.22
Ag: 0.7500 0.7500 0.7500  4 In 3.22, 4 I 3.22
In: 0.0000 0.0000 0.0000  8 Ag 3.22

Results
Space group   Fm-3m (225)
Uncorrected formation energy   283.6 meV per atom
Energy relative to the lowest polymorph listed for this composition   34.2 kJ per mole of atoms



no.,E_tot (hartree per atom)
1,-0.210
2,-0.171
3,-0.227
4,-0.199
5,-0.181
6,-0.155
7,-0.169
8,-0.213
9,-0.057
10,-0.059
11,-0.225
12,-0.081